1.
Density functional theory data (PBE) for a geometry-optimized BaMg2Br structure.

```
data_BaMg2Br
_chemical_formula_sum 'Ba1 Mg2 Br1'
_cell_length_a 3.9085
_cell_length_b 4.1050
_cell_length_c 9.0951
_cell_angle_alpha 77.22
_cell_angle_beta 90.00
_cell_angle_gamma 90.00
_symmetry_space_group_name_H-M 'P 1'
_symmetry_Int_Tables_number 1
_symmetry_space_group_name_Hall 'P 1'
loop_
_atom_site_label
_atom_site_fract_x
_atom_site_fract_y
_atom_site_fract_z
Ba1 0.0000 0.5579 0.5144
Br1 0.5000 0.9600 0.7137
Mg1 0.0000 0.7790 0.0579
Mg2 0.5000 0.2031 0.2140
```

For the energy above the most stable polymorph in this dataset, the calculation gives 0.0 meV/atom.

2.
Density functional theory data (PBE) for a geometry-optimized BaMgBr2 structure.

```
data_BaMgBr2
_chemical_formula_sum 'Ba1 Mg1 Br2'
_cell_length_a 5.3868
_cell_length_b 5.3859
_cell_length_c 4.5113
_cell_angle_alpha 90.00
_cell_angle_beta 90.00
_cell_angle_gamma 90.00
_symmetry_space_group_name_H-M 'P 1'
_symmetry_Int_Tables_number 1
_symmetry_space_group_name_Hall 'P 1'
loop_
_atom_site_label
_atom_site_fract_x
_atom_site_fract_y
_atom_site_fract_z
Ba1 0.0000 0.5000 0.5000
Br1 0.0000 0.0000 0.0000
Br2 0.5000 0.5000 0.0000
Mg1 0.5000 0.0000 0.5000
```

For the energy above the most stable polymorph in this dataset, the calculation gives 80.9 meV/atom.

3.
Density functional theory data (PBE) for a geometry-optimized BaMg2Br structure.

```
data_BaMg2Br
_chemical_formula_sum 'Ba1 Mg2 Br1'
_cell_length_a 6.1807
_cell_length_b 6.1807
_cell_length_c 6.1807
_cell_angle_alpha 133.87
_cell_angle_beta 125.35
_cell_angle_gamma 74.24
_symmetry_space_group_name_H-M 'P 1'
_symmetry_Int_Tables_number 1
_symmetry_space_group_name_Hall 'P 1'
loop_
_atom_site_label
_atom_site_fract_x
_atom_site_fract_y
_atom_site_fract_z
Ba1 0.4820 0.4820 0.0000
Br1 0.2338 0.7338 0.5000
Mg1 0.0267 0.0267 0.0000
Mg2 0.7575 0.2575 0.5000
```

For the energy above the most stable polymorph in this dataset, the calculation gives 133.6 meV/atom.

4.
Density functional theory data (PBE) for a geometry-optimized BaMg2Br6 structure.

```
data_BaMg2Br6
_chemical_formula_sum 'Ba1 Mg2 Br6'
_cell_length_a 5.4466
_cell_length_b 7.6799
_cell_length_c 9.2671
_cell_angle_alpha 103.18
_cell_angle_beta 90.00
_cell_angle_gamma 110.77
_symmetry_space_group_name_H-M 'P 1'
_symmetry_Int_Tables_number 1
_symmetry_space_group_name_Hall 'P 1'
loop_
_atom_site_label
_atom_site_fract_x
_atom_site_fract_y
_atom_site_fract_z
Ba1 0.0000 0.0000 0.5000
Mg1 0.7668 0.5336 0.8435
Mg2 0.2332 0.4664 0.1565
Br1 0.9300 0.8599 0.7998
Br2 0.7650 0.5301 0.1254
Br3 0.2350 0.4699 0.8746
Br4 0.6367 0.2735 0.5987
Br5 0.3633 0.7265 0.4013
Br6 0.0700 0.1401 0.2002
```

For the energy above the most stable polymorph in this dataset, the calculation gives 48.0 meV/atom.

5.
Density functional theory data (PBE) for a geometry-optimized Ba3Mg5Br12 structure.

```
data_Ba3Mg5Br12
_chemical_formula_sum 'Ba12 Mg20 Br48'
_cell_length_a 15.8544
_cell_length_b 15.8544
_cell_length_c 15.8544
_cell_angle_alpha 109.47
_cell_angle_beta 109.47
_cell_angle_gamma 109.47
_symmetry_space_group_name_H-M 'P 1'
_symmetry_Int_Tables_number 1
_symmetry_space_group_name_Hall 'P 1'
loop_
_atom_site_label
_atom_site_fract_x
_atom_site_fract_y
_atom_site_fract_z
Ba1 0.7500 0.3750 0.1250
Ba2 0.8750 0.7500 0.1250
Ba3 0.3750 0.7500 0.6250
Ba4 0.2500 0.1250 0.3750
Ba5 0.8750 0.1250 0.2500
Ba6 0.3750 0.6250 0.2500
Ba7 0.6250 0.3750 0.7500
Ba8 0.1250 0.8750 0.7500
Ba9 0.7500 0.8750 0.6250
Ba10 0.6250 0.2500 0.3750
Ba11 0.1250 0.2500 0.8750
Ba12 0.2500 0.6250 0.8750
Mg1 0.1250 0.3750 0.2500
Mg2 0.0000 0.5000 0.0000
Mg3 0.0000 0.0000 0.0000
Mg4 0.3750 0.2500 0.1250
Mg5 0.5000 0.0000 0.5000
Mg6 0.5000 0.5000 0.0000
Mg7 0.1250 0.7500 0.3750
Mg8 0.7500 0.1250 0.8750
Mg9 0.7500 0.6250 0.3750
Mg10 0.3750 0.1250 0.7500
Mg11 0.6250 0.8750 0.2500
Mg12 0.5000 0.5000 0.5000
Mg13 0.5000 0.0000 0.0000
Mg14 0.0000 0.0000 0.5000
Mg15 0.2500 0.3750 0.6250
Mg16 0.2500 0.8750 0.1250
Mg17 0.0000 0.5000 0.5000
Mg18 0.8750 0.2500 0.6250
Mg19 0.6250 0.7500 0.8750
Mg20 0.8750 0.6250 0.7500
Br1 0.7362 0.1347 0.0331
Br2 0.2969 0.5331 0.3984
Br3 0.9669 0.3653 0.2638
Br4 0.5331 0.2362 0.1347
Br5 0.6015 0.7362 0.7031
Br6 0.9669 0.6016 0.2031
Br7 0.2969 0.7638 0.3985
Br8 0.1016 0.8985 0.1347
Br9 0.6016 0.9669 0.7031
Br10 0.7362 0.6015 0.2031
Br11 0.7638 0.4669 0.3653
Br12 0.7969 0.8984 0.0331
Br13 0.1347 0.7362 0.5331
Br14 0.3653 0.3984 0.1015
Br15 0.1015 0.8984 0.3653
Br16 0.3985 0.1347 0.6016
Br17 0.1015 0.2031 0.2362
Br18 0.4669 0.7031 0.1016
Br19 0.7969 0.8985 0.2638
Br20 0.1347 0.3985 0.1016
Br21 0.3653 0.9669 0.7638
Br22 0.6016 0.6347 0.3985
Br23 0.8984 0.7969 0.5331
Br24 0.7638 0.2969 0.8985
Br25 0.3984 0.3653 0.6015
Br26 0.1016 0.2031 0.4669
Br27 0.2362 0.7031 0.1015
Br28 0.2031 0.1015 0.7362
Br29 0.6347 0.0331 0.2362
Br30 0.8653 0.6015 0.8984
Br31 0.5331 0.2969 0.8984
Br32 0.6015 0.8653 0.3984
Br33 0.8985 0.7969 0.7638
Br34 0.8985 0.1016 0.6347
Br35 0.8653 0.2638 0.4669
Br36 0.2031 0.1016 0.9669
Br37 0.6347 0.6016 0.8985
Br38 0.3984 0.0331 0.2969
Br39 0.2638 0.3985 0.7969
Br40 0.2362 0.5331 0.6347
Br41 0.8984 0.1015 0.8653
Br42 0.7031 0.2362 0.6015
Br43 0.4669 0.7638 0.8653
Br44 0.0331 0.3984 0.7969
Br45 0.3985 0.2638 0.2969
Br46 0.0331 0.6347 0.7362
Br47 0.7031 0.4669 0.6016
Br48 0.2638 0.8653 0.9669
```

The electronic total energy is -3.0975 eV/atom.

6.
Density functional theory data (PBE) for a geometry-optimized BaMg2Br structure.

```
data_BaMg2Br
_chemical_formula_sum 'Ba1 Mg2 Br1'
_cell_length_a 6.1523
_cell_length_b 6.1523
_cell_length_c 6.4582
_cell_angle_alpha 69.84
_cell_angle_beta 69.84
_cell_angle_gamma 37.31
_symmetry_space_group_name_H-M 'P 1'
_symmetry_Int_Tables_number 1
_symmetry_space_group_name_Hall 'P 1'
loop_
_atom_site_label
_atom_site_fract_x
_atom_site_fract_y
_atom_site_fract_z
Ba1 0.4429 0.4429 0.3708
Br1 0.1676 0.1676 0.3778
Mg1 0.0887 0.0887 0.8448
Mg2 0.8009 0.8009 0.9066
```

For the energy above the most stable polymorph in this dataset, the calculation gives 28.9 meV/atom.

7.
Density functional theory data (PBE) for a geometry-optimized BaMgBr2 structure.

```
data_BaMgBr2
_chemical_formula_sum 'Ba1 Mg1 Br2'
_cell_length_a 5.7816
_cell_length_b 5.7816
_cell_length_c 5.7816
_cell_angle_alpha 60.00
_cell_angle_beta 60.00
_cell_angle_gamma 60.00
_symmetry_space_group_name_H-M 'P 1'
_symmetry_Int_Tables_number 1
_symmetry_space_group_name_Hall 'P 1'
loop_
_atom_site_label
_atom_site_fract_x
_atom_site_fract_y
_atom_site_fract_z
Ba1 0.5000 0.5000 0.5000
Br1 0.0000 0.0000 0.0000
Br2 0.2500 0.2500 0.2500
Mg1 0.7500 0.7500 0.7500
```

For the energy above the most stable polymorph in this dataset, the calculation gives 300.1 meV/atom.

8.
Density functional theory data (PBE) for a geometry-optimized BaMgBr2 structure.

```
data_BaMgBr2
_chemical_formula_sum 'Ba2 Mg2 Br4'
_cell_length_a 9.2714
_cell_length_b 9.2714
_cell_length_c 7.7158
_cell_angle_alpha 53.07
_cell_angle_beta 53.07
_cell_angle_gamma 90.00
_symmetry_space_group_name_H-M 'P 1'
_symmetry_Int_Tables_number 1
_symmetry_space_group_name_Hall 'P 1'
loop_
_atom_site_label
_atom_site_fract_x
_atom_site_fract_y
_atom_site_fract_z
Mg1 0.5000 0.5000 0.0000
Mg2 0.2500 0.7500 0.5000
Ba1 0.0000 0.0000 0.0000
Ba2 0.7500 0.2500 0.5000
Br1 0.6678 0.1250 0.2500
Br2 0.0822 0.6250 0.2500
Br3 0.3750 0.3322 0.7500
Br4 0.8750 0.9178 0.7500
```

For the energy above the most stable polymorph in this dataset, the calculation gives 102.9 meV/atom.

What did the seventh record say?
Density functional theory data (PBE) for a geometry-optimized BaMgBr2 structure.

```
data_BaMgBr2
_chemical_formula_sum 'Ba1 Mg1 Br2'
_cell_length_a 5.7816
_cell_length_b 5.7816
_cell_length_c 5.7816
_cell_angle_alpha 60.00
_cell_angle_beta 60.00
_cell_angle_gamma 60.00
_symmetry_space_group_name_H-M 'P 1'
_symmetry_Int_Tables_number 1
_symmetry_space_group_name_Hall 'P 1'
loop_
_atom_site_label
_atom_site_fract_x
_atom_site_fract_y
_atom_site_fract_z
Ba1 0.5000 0.5000 0.5000
Br1 0.0000 0.0000 0.0000
Br2 0.2500 0.2500 0.2500
Mg1 0.7500 0.7500 0.7500
```

For the energy above the most stable polymorph in this dataset, the calculation gives 300.1 meV/atom.